# 1
A geometry-optimized TbNd4Y10 structure, computed with PBE.

Values from the calculation:
E in eV/atom: -5.620

a = 8.9854 Å, b = 8.9854 Å, c = 8.9854 Å
α = 101.30°, β = 101.30°, γ = 127.46°
With the nearest neighbours (Å) after each atom.
Element x y z (fractional)
Tb1 0.0000 0.0000 0.0000  8 Y 3.33, 4 Nd 3.68
Nd1 0.2283 0.2283 0.4567  8 Y 3.49-3.58, 1 Tb 3.68
Nd2 0.2283 0.7717 0.0000  8 Y 3.49-3.58, 1 Tb 3.68
Nd3 0.7717 0.2283 0.0000  8 Y 3.49-3.58, 1 Tb 3.68
Nd4 0.7717 0.7717 0.5433  8 Y 3.49-3.58, 1 Tb 3.68
Y1 0.0821 0.2915 0.7906  4 Y 3.32-3.37, 1 Tb 3.33, 4 Nd 3.49-3.58
Y2 0.2500 0.7500 0.5000  4 Y 3.33
Y3 0.2915 0.0821 0.7906  4 Y 3.32-3.37, 1 Tb 3.33, 4 Nd 3.49-3.58
Y4 0.2915 0.5008 0.2094  4 Y 3.32-3.37, 1 Tb 3.33, 4 Nd 3.49-3.58
Y5 0.4992 0.7085 0.7906  4 Y 3.32-3.37, 1 Tb 3.33, 4 Nd 3.49-3.58
Y6 0.5008 0.2915 0.2094  4 Y 3.32-3.37, 1 Tb 3.33, 4 Nd 3.49-3.58
Y7 0.7085 0.4992 0.7906  4 Y 3.32-3.37, 1 Tb 3.33, 4 Nd 3.49-3.58
Y8 0.7085 0.9179 0.2094  4 Y 3.32-3.37, 1 Tb 3.33, 4 Nd 3.49-3.58
Y9 0.7500 0.2500 0.5000  4 Y 3.33
Y10 0.9179 0.7085 0.2094  4 Y 3.32-3.37, 1 Tb 3.33, 4 Nd 3.49-3.58

***

# 2
A geometry-optimized TbNd4Y structure, computed with PBE.

Values from the calculation:
Distance to the lowest polymorph of the same formula in meV/atom: 600

a = 8.3276 Å, b = 8.3276 Å, c = 3.4985 Å
α = 90.00°, β = 90.00°, γ = 90.17°
With the nearest neighbours (Å) after each atom.
Element x y z (fractional)
Tb1 0.0000 0.0000 0.0000  6 Nd 3.07-3.31
Nd1 0.2388 0.2388 0.5000  1 Y 3.07, 2 Tb 3.31
Nd2 0.2599 0.7401 0.0000  1 Tb 3.07, 2 Y 3.33
Nd3 0.7401 0.2599 0.0000  1 Tb 3.07, 2 Y 3.33
Nd4 0.7612 0.7612 0.5000  1 Y 3.07, 2 Tb 3.31
Y1 0.5000 0.5000 0.5000  6 Nd 3.07-3.33

***

# 3
A geometry-optimized Tb2Nd3Y6 structure, computed with PBE.

Values from the calculation:
Distance to the lowest polymorph of the same formula in meV/atom: 0

a = 32.2127 Å, b = 32.2127 Å, c = 32.2127 Å
α = 6.41°, β = 6.41°, γ = 6.41°
With the nearest neighbours (Å) after each atom.
Element x y z (fractional)
Tb1 0.0450 0.0450 0.0450  6 Y 3.56, 6 Tb 3.60
Tb2 0.9550 0.9550 0.9550  6 Y 3.56, 6 Tb 3.60
Nd1 0.2278 0.2278 0.2278  6 Nd 3.60, 6 Y 3.61
Nd2 0.5000 0.5000 0.5000  6 Nd 3.60, 6 Y 3.61
Nd3 0.7722 0.7722 0.7722  6 Nd 3.60, 6 Y 3.61
Y1 0.1361 0.1361 0.1361  6 Y 3.60, 6 Nd 3.61
Y2 0.3183 0.3183 0.3183  3 Tb 3.56, 9 Y 3.57-3.60
Y3 0.4083 0.4083 0.4083  3 Tb 3.56, 6 Y 3.60, 3 Nd 3.61
Y4 0.5917 0.5917 0.5917  3 Tb 3.56, 6 Y 3.60, 3 Nd 3.61
Y5 0.6817 0.6817 0.6817  3 Tb 3.56, 9 Y 3.57-3.60
Y6 0.8639 0.8639 0.8639  6 Y 3.60, 6 Nd 3.61

***

# 4
A geometry-optimized TbNd2Y9 structure, computed with PBE.

Values from the calculation:
E in eV/atom: -6.006

a = 5.0756 Å, b = 5.0756 Å, c = 15.2260 Å
α = 90.00°, β = 90.00°, γ = 90.00°
With the nearest neighbours (Å) after each atom.
Element x y z (fractional)
Tb1 0.0000 0.0000 0.0000  12 Y 3.57-3.59
Nd1 0.0000 0.0000 0.3329  12 Y 3.59-3.60
Nd2 0.0000 0.0000 0.6671  12 Y 3.59-3.60
Y1 0.0000 0.5000 0.1650  8 Y 3.57-3.60, 2 Tb 3.57, 2 Nd 3.60
Y2 0.0000 0.5000 0.5000  8 Y 3.59-3.60, 4 Nd 3.59
Y3 0.0000 0.5000 0.8350  8 Y 3.57-3.60, 2 Tb 3.57, 2 Nd 3.60
Y4 0.5000 0.0000 0.1650  8 Y 3.57-3.60, 2 Tb 3.57, 2 Nd 3.60
Y5 0.5000 0.0000 0.5000  8 Y 3.59-3.60, 4 Nd 3.59
Y6 0.5000 0.0000 0.8350  8 Y 3.57-3.60, 2 Tb 3.57, 2 Nd 3.60
Y7 0.5000 0.5000 0.0000  8 Y 3.57, 4 Tb 3.59
Y8 0.5000 0.5000 0.3323  4 Nd 3.59, 8 Y 3.60
Y9 0.5000 0.5000 0.6677  4 Nd 3.59, 8 Y 3.60

***

# 5
A geometry-optimized Tb2Nd8Y3 structure, computed with PBE.

Values from the calculation:
E in eV/atom: -4.938

a = 7.7398 Å, b = 5.7583 Å, c = 10.9758 Å
α = 90.00°, β = 110.61°, γ = 90.00°
With the nearest neighbours (Å) after each atom.
Element x y z (fractional)
Tb1 0.2400 0.0000 0.4805  8 Nd 3.39-3.63
Tb2 0.7600 0.0000 0.5195  8 Nd 3.39-3.63
Nd1 0.1326 0.5000 0.2649  2 Y 3.50, 2 Tb 3.63, 4 Nd 3.71-3.72
Nd2 0.1890 0.0000 0.7878  1 Y 3.16, 1 Nd 3.17, 1 Tb 3.53
Nd3 0.3270 0.5000 0.6541  2 Tb 3.39, 4 Nd 3.56
Nd4 0.4011 0.0000 0.2122  1 Y 3.16, 1 Nd 3.17, 1 Tb 3.53
Nd5 0.5989 0.0000 0.7878  1 Y 3.16, 1 Nd 3.17, 1 Tb 3.53
Nd6 0.6730 0.5000 0.3459  2 Tb 3.39, 4 Nd 3.56
Nd7 0.8110 0.0000 0.2122  1 Y 3.16, 1 Nd 3.17, 1 Tb 3.53
Nd8 0.8674 0.5000 0.7351  2 Y 3.50, 2 Tb 3.63, 4 Nd 3.71-3.72
Y1 0.0000 0.0000 0.0000  4 Nd 3.16
Y2 0.2846 0.5000 0.0001  3 Y 3.33-3.63, 6 Nd 3.50-3.61
Y3 0.7154 0.5000 0.9999  3 Y 3.33-3.63, 6 Nd 3.50-3.61

***

# 6
A geometry-optimized Tb4Nd2Y structure, computed with PBE.

Values from the calculation:
Distance to the lowest polymorph of the same formula in meV/atom: 36

a = 8.6898 Å, b = 8.6898 Å, c = 8.8389 Å
α = 119.19°, β = 119.19°, γ = 23.67°
With the nearest neighbours (Å) after each atom.
Element x y z (fractional)
Tb1 0.1452 0.1452 0.3459  7 Tb 3.56-3.78, 4 Nd 3.69, 2 Y 3.81
Tb2 0.2047 0.2047 0.7928  3 Nd 3.36-3.56, 5 Tb 3.56-3.65, 2 Y 3.61
Tb3 0.7953 0.7953 0.2072  3 Nd 3.36-3.56, 5 Tb 3.56-3.65, 2 Y 3.61
Tb4 0.8548 0.8548 0.6541  7 Tb 3.56-3.78, 4 Nd 3.69, 2 Y 3.81
Nd1 0.4299 0.4299 0.0690  1 Nd 3.17, 1 Tb 3.36, 1 Y 3.38
Nd2 0.5701 0.5701 0.9310  1 Nd 3.17, 1 Tb 3.36, 1 Y 3.38
Y1 0.5000 0.5000 0.5000  2 Nd 3.38, 2 Y 3.56, 4 Tb 3.61

***

# 7
A geometry-optimized Tb8NdY2 structure, computed with PBE.

Values from the calculation:
Distance to the lowest polymorph of the same formula in meV/atom: 36

a = 9.4708 Å, b = 9.4708 Å, c = 5.9465 Å
α = 106.49°, β = 106.49°, γ = 122.50°
With the nearest neighbours (Å) after each atom.
Element x y z (fractional)
Tb1 0.0989 0.3449 0.6949  4 Tb 3.21-3.54, 2 Y 3.51-3.53
Tb2 0.2038 0.7962 0.0000  1 Nd 3.38, 4 Y 3.46-3.70, 6 Tb 3.54-3.68
Tb3 0.3449 0.0989 0.6949  4 Tb 3.21-3.54, 2 Y 3.51-3.53
Tb4 0.4403 0.4403 0.2099  4 Tb 2.94-3.26
Tb5 0.5597 0.5597 0.7901  4 Tb 2.94-3.26
Tb6 0.6551 0.9011 0.3051  4 Tb 3.21-3.54, 2 Y 3.51-3.53
Tb7 0.7962 0.2038 0.0000  1 Nd 3.38, 4 Y 3.46-3.70, 6 Tb 3.54-3.68
Tb8 0.9011 0.6551 0.3051  4 Tb 3.21-3.54, 2 Y 3.51-3.53
Nd1 0.0000 0.0000 0.0000  4 Tb 3.38-3.43
Y1 0.3103 0.6897 0.5000  10 Tb 3.46-3.70
Y2 0.6897 0.3103 0.5000  10 Tb 3.46-3.70

***

# 8
A geometry-optimized TbNd6Y12 structure, computed with PBE.

Values from the calculation:
Distance to the lowest polymorph of the same formula in meV/atom: 0

a = 8.7410 Å, b = 8.7410 Å, c = 8.7410 Å
α = 79.71°, β = 79.71°, γ = 79.71°
With the nearest neighbours (Å) after each atom.
Element x y z (fractional)
Tb1 0.0000 0.0000 0.0000  6 Nd 3.09
Nd1 0.1636 0.7698 0.7698  1 Tb 3.09, 3 Y 3.36-3.42
Nd2 0.2302 0.2302 0.8364  1 Tb 3.09, 3 Y 3.36-3.42
Nd3 0.2302 0.8364 0.2302  1 Tb 3.09, 3 Y 3.36-3.42
Nd4 0.7698 0.1636 0.7698  1 Tb 3.09, 3 Y 3.36-3.42
Nd5 0.7698 0.7698 0.1636  1 Tb 3.09, 3 Y 3.36-3.42
Nd6 0.8364 0.2302 0.2302  1 Tb 3.09, 3 Y 3.36-3.42
Y1 0.1369 0.1369 0.4844  7 Y 3.50-3.89, 5 Nd 3.58-3.70
Y2 0.1369 0.4844 0.1369  7 Y 3.50-3.89, 5 Nd 3.58-3.70
Y3 0.1961 0.5155 0.5155  3 Nd 3.36-3.42, 5 Y 3.50-3.58
Y4 0.4844 0.1369 0.1369  7 Y 3.50-3.89, 5 Nd 3.58-3.70
Y5 0.4845 0.4845 0.8039  3 Nd 3.36-3.42, 5 Y 3.50-3.58
Y6 0.4845 0.8039 0.4845  3 Nd 3.36-3.42, 5 Y 3.50-3.58
Y7 0.5155 0.1961 0.5155  3 Nd 3.36-3.42, 5 Y 3.50-3.58
Y8 0.5155 0.5155 0.1961  3 Nd 3.36-3.42, 5 Y 3.50-3.58
Y9 0.5156 0.8631 0.8631  7 Y 3.50-3.89, 5 Nd 3.58-3.70
Y10 0.8039 0.4845 0.4845  3 Nd 3.36-3.42, 5 Y 3.50-3.58
Y11 0.8631 0.5156 0.8631  7 Y 3.50-3.89, 5 Nd 3.58-3.70
Y12 0.8631 0.8631 0.5156  7 Y 3.50-3.89, 5 Nd 3.58-3.70

***

Copy entry 2 word for word.
A geometry-optimized TbNd4Y structure, computed with PBE.

Values from the calculation:
Distance to the lowest polymorph of the same formula in meV/atom: 600

a = 8.3276 Å, b = 8.3276 Å, c = 3.4985 Å
α = 90.00°, β = 90.00°, γ = 90.17°
With the nearest neighbours (Å) after each atom.
Element x y z (fractional)
Tb1 0.0000 0.0000 0.0000  6 Nd 3.07-3.31
Nd1 0.2388 0.2388 0.5000  1 Y 3.07, 2 Tb 3.31
Nd2 0.2599 0.7401 0.0000  1 Tb 3.07, 2 Y 3.33
Nd3 0.7401 0.2599 0.0000  1 Tb 3.07, 2 Y 3.33
Nd4 0.7612 0.7612 0.5000  1 Y 3.07, 2 Tb 3.31
Y1 0.5000 0.5000 0.5000  6 Nd 3.07-3.33